Material: RbV3F
Method: DFT, PBE+U
State: optimized geometry

Lattice parameters (Å, degrees): 4.9933 4.9933 4.9933 90.00 90.00 90.00
Each line ends with the local moment (μB).
Atoms (fractional coordinates):
V (0.0000, 0.5000, 0.0000)  3.20
V (0.0000, 0.0000, 0.5000)  3.20
V (0.5000, 0.0000, 0.0000)  3.20
Rb (0.5000, 0.5000, 0.5000)  0.10
F (0.0000, 0.0000, 0.0000)  0.06

Properties
VASP energy: -4.15 eV per atom
Total magnetic moment: 12.4 Bohr magnetons per cell